1.
First-principles (PBE-GGA) data for crystalline Tl4InBi at its relaxed geometry, as listed in Alexandria.

It has space group F-43m (No. 216), with a = 9.188 Å, b = 9.188 Å, c = 9.188 Å, α = 90.00°, β = 90.00° and γ = 90.00°. Symmetry generates all atoms from Tl at (0.125, 0.125, 0.125), In at (0.000, 0.000, 0.500) and Bi at (0.250, 0.250, 0.750).

For the calculated formation energy, the calculation gives 0.1246 eV per atom. The excess energy over the best structure of this formula in the dataset is 0.130 eV per atom.

***

2.
First-principles (PBE-GGA) data for crystalline LiPm2Zn3Cu12 at its relaxed geometry, as listed in Alexandria.

It has space group R-3m (No. 166, hexagonal axes), with a = 6.2661 Å, b = 6.2661 Å, c = 26.1662 Å, α = 90.00°, β = 90.00° and γ = 120.00°. Symmetry generates all atoms from Li at (0.0000, 0.0000, 0.0000), Pm at (0.0000, 0.0000, 0.3480), Zn at (0.0000, 0.5000, 0.5000), Cu at (0.0532, 0.5266, 0.5963) and Cu at (0.0755, 0.5377, 0.1167).

For the calculated formation energy, the calculation gives 0.1401 eV per atom.

***

3.
First-principles (PBE-GGA) data for crystalline Na3Sm3USe8 at its relaxed geometry, as listed in Alexandria.

It has space group R-3m (No. 166, hexagonal axes), with a = 8.4403 Å, b = 8.4403 Å, c = 21.1170 Å, α = 90.00°, β = 90.00° and γ = 120.00°. Symmetry generates all atoms from Na at (0.0000, 0.5000, 0.0000), Sm at (0.0000, 0.5000, 0.5000), U at (0.0000, 0.0000, 0.5000), Se at (0.0000, 0.0000, 0.2448) and Se at (0.0092, 0.5046, 0.2418).

As for the formation energy (no corrections): -1.572 eV/atom.

***

4.
First-principles (PBE-GGA) data for crystalline Nd3Tm3Mg at its relaxed geometry, as listed in Alexandria.

It has space group P6_3/m (No. 176), with a = 9.5392 Å, b = 9.5392 Å, c = 5.6232 Å, α = 90.00°, β = 90.00° and γ = 120.00°. Symmetry generates all atoms from Nd at (0.1016, 0.6306, 0.2500), Tm at (0.0513, 0.8189, 0.7500) and Mg at (0.3333, 0.6667, 0.7500).

For the calculated formation energy, the calculation gives 0.0136 eV per atom. The excess energy over the best structure of this formula in the dataset is 0.000 eV per atom.

***

Q: Which energy values were calculated for the entries above? A: -2.56; -3.44; -5.39; -4.17, in eV per atom.
Q: Which ρ values were calculated for the entries above? A: 9.78; 7.03; 5.31; 7.22, in g/cm³.